# 1
Here is a relaxed structure of SmY2ThS4 from Alexandria. Energies are from GGA-PBE.

The raw total energy comes out at -57.22 eV for the cell shown. Its density of states at the Fermi level is 3.31 states/eV per cell. The calculation puts the formation energy without anion corrections at -1.95 eV per atom.

Unit cell a=3.939 b=6.939 c=6.862 alpha=70.89 beta=90.00 gamma=90.00
Positions (direct):
Sm 0.000 0.500 0.500
Y 0.000 0.000 0.000
Y 0.500 0.000 0.500
Th 0.500 0.500 0.000
S 0.000 0.762 0.744
S 0.000 0.238 0.256
S 0.500 0.760 0.248
S 0.500 0.240 0.752

---

# 2
Here is a relaxed structure of Ac2Pr5Er5 from Alexandria. Energies are from GGA-PBE.

The raw total energy comes out at -54.47 eV for the cell shown. The energy relative to the elements comes out at 0.456 eV per formula unit. Its density of states at the Fermi level is 18.13 states/eV per cell.

Unit cell a=5.147 b=8.243 c=11.049 alpha=72.92 beta=76.53 gamma=71.81
Positions (direct):
Ac 0.917 0.413 0.752
Ac 0.083 0.587 0.248
Pr 0.833 0.833 0.500
Pr 0.245 0.756 0.754
Pr 0.755 0.244 0.246
Pr 0.167 0.167 0.500
Pr 0.000 0.000 0.000
Er 0.500 0.500 0.500
Er 0.334 0.330 0.003
Er 0.415 0.921 0.249
Er 0.585 0.079 0.751
Er 0.666 0.670 0.997

---

# 3
Here is a relaxed structure of Sc2SeBr from Alexandria. Energies are from GGA-PBE.

The raw total energy comes out at -21.46 eV for the cell shown. Its density of states at the Fermi level is 3.66 states/eV per cell. The energy above the most stable polymorph in this dataset is 326 meV per atom. The calculation puts the formation energy without anion corrections at -0.91 eV per atom.

Unit cell a=5.438 b=5.438 c=3.642 alpha=70.28 beta=70.28 gamma=96.59
Positions (direct):
Br 0.000 0.500 0.500
Sc 0.000 0.000 0.000
Sc 0.500 0.500 0.000
Se 0.500 0.000 0.500

---

# 4
Here is a relaxed structure of LiPrYZn from Alexandria. Energies are from GGA-PBE.

The raw total energy comes out at -14.94 eV for the cell shown. The energy relative to the elements comes out at -0.506 eV per formula unit. Its density of states at the Fermi level is 4.65 states/eV per cell. The energy above the most stable polymorph in this dataset is 0 meV per atom.

Unit cell a=3.703 b=3.703 c=7.465 alpha=90.00 beta=90.00 gamma=90.00
Positions (direct):
Li 0.000 0.000 0.869
Pr 0.500 0.500 0.591
Y 0.500 0.500 0.125
Zn 0.000 0.000 0.343

---

# 5
Here is a relaxed structure of TaCuSi2 from Alexandria. Energies are from GGA-PBE.

The raw total energy comes out at -27.06 eV for the cell shown. Its density of states at the Fermi level is 1.50 states/eV per cell. The calculation puts the formation energy without anion corrections at -0.07 eV per atom.

Unit cell a=3.754 b=4.249 c=3.551 alpha=90.00 beta=90.00 gamma=90.00
Positions (direct):
Cu 0.000 0.500 0.500
Si 0.000 0.000 0.000
Si 0.500 0.500 0.000
Ta 0.500 0.000 0.500

---

# 6
Here is a relaxed structure of Pa2Ga2Ir from Alexandria. Energies are from GGA-PBE.

The raw total energy comes out at -72.46 eV for the cell shown. The energy relative to the elements comes out at -2.323 eV per formula unit. Its density of states at the Fermi level is 10.96 states/eV per cell.

Unit cell a=4.555 b=6.652 c=6.652 alpha=90.00 beta=90.00 gamma=90.00
Positions (direct):
Pa 0.500 0.651 0.151
Pa 0.500 0.151 0.349
Pa 0.500 0.349 0.849
Pa 0.500 0.849 0.651
Ga 0.000 0.145 0.645
Ga 0.000 0.645 0.855
Ga 0.000 0.855 0.355
Ga 0.000 0.355 0.145
Ir 0.000 0.000 0.000
Ir 0.000 0.500 0.500

---

# 7
Here is a relaxed structure of Pm3Ni3Bi4 from Alexandria. Energies are from GGA-PBE.

The raw total energy comes out at -105.92 eV for the cell shown. The energy relative to the elements comes out at -5.842 eV per formula unit. Its density of states at the Fermi level is 17.97 states/eV per cell.

Unit cell a=8.523 b=8.523 c=8.523 alpha=109.47 beta=109.47 gamma=109.47
Positions (direct):
Pm 0.625 0.750 0.875
Pm 0.875 0.250 0.625
Pm 0.125 0.375 0.250
Pm 0.375 0.125 0.750
Pm 0.250 0.875 0.125
Pm 0.750 0.625 0.375
Ni 0.125 0.750 0.375
Ni 0.375 0.250 0.125
Ni 0.625 0.875 0.250
Ni 0.875 0.625 0.750
Ni 0.250 0.375 0.625
Ni 0.750 0.125 0.875
Bi 0.000 0.000 0.347
Bi 0.500 0.347 0.500
Bi 0.653 0.153 0.153
Bi 0.000 0.000 0.847
Bi 0.847 0.500 0.000
Bi 0.500 0.847 0.500
Bi 0.347 0.500 0.000
Bi 0.153 0.653 0.653

---

# 8
Here is a relaxed structure of LiCrTc from Alexandria. Energies are from GGA-PBE.

The raw total energy comes out at -20.97 eV for the cell shown. The energy relative to the elements comes out at 0.929 eV per formula unit. Its density of states at the Fermi level is 2.99 states/eV per cell. The energy above the most stable polymorph in this dataset is 126 meV per atom.

Unit cell a=6.980 b=6.801 c=2.592 alpha=83.06 beta=75.30 gamma=21.64
Positions (direct):
Cr 0.008 0.008 0.992
Li 0.334 0.334 0.666
Tc 0.658 0.658 0.342

---

Q: raw total energy of number 6 (Pa2Ga2Ir)?
A: -72.46 eV for the cell shown